The following is a DFT calculation (PBEsol) of CsKZn3 after structural relaxation.

Output
relative energy among the computed polymorphs	94.8	meV/atom
V	49.640	Å³ per atom
magnetization	0.00	μB per cell
formation energy	0.735	eV/atom
uncorrected energy	-3.147	eV/cell

a = 6.284 Å, b = 6.284 Å, c = 6.284 Å
α = 90.00°, β = 90.00°, γ = 90.00°
Sites, in units of the cell vectors:
Cs  0.000  0.000  0.000
Zn  0.000  0.500  0.000
Zn  0.000  0.000  0.500
Zn  0.500  0.000  0.000
K  0.500  0.500  0.500